# 1
A relaxed ZnNiBr3 crystal. Source: Alexandria via LeMat-Bulk, functional PBE.

Lattice parameters (Å, degrees): 4.940 4.940 4.940 90.00 90.00 90.00
Space group Pm-3m (No. 221)
One atom of each set of equivalent atoms:
Zn 0.000 0.000 0.000 [1 per cell]
Ni 0.500 0.500 0.500 [1 per cell]
Br 0.000 0.500 0.500 [3 per cell]

Computed properties:
Its energy above the most stable polymorph in this dataset is 0.000 eV per atom. The value obtained for the uncorrected formation energy is -0.055 eV/f.u. For the density of states at the Fermi level, the calculation gives 3.31 states/eV per cell. As for the total energy: -2.426 eV per atom.

***

# 2
A relaxed LaCdTeO6 crystal. Source: Alexandria via LeMat-Bulk, functional PBE.

Lattice parameters (Å, degrees): 5.159 5.159 10.328 90.00 90.00 90.00
Space group P4_2nm (No. 102)
One atom of each set of equivalent atoms:
La 0.000 0.000 0.000 [2 per cell]
Cd 0.000 0.000 0.332 [2 per cell]
Te 0.000 0.000 0.663 [2 per cell]
O 0.178 0.178 0.523 [4 per cell]
O 0.183 0.183 0.801 [4 per cell]
O 0.233 0.233 0.167 [4 per cell]

Computed properties:
The value obtained for the uncorrected formation energy is -14.291 eV/f.u. For the density of states at the Fermi level, the calculation gives 11.64 states/eV per cell. As for the total energy: -5.892 eV per atom.

***

# 3
A relaxed KGaPS2 crystal. Source: Alexandria via LeMat-Bulk, functional PBE.

Lattice parameters (Å, degrees): 5.752 5.752 6.007 90.00 90.00 90.00
Space group P4/mmm (No. 123)
One atom of each set of equivalent atoms:
K 0.000 0.000 0.000 [1 per cell]
Ga 0.500 0.500 0.500 [1 per cell]
P 0.000 0.000 0.500 [1 per cell]
S 0.000 0.500 0.000 [2 per cell]

Computed properties:
Its energy above the most stable polymorph in this dataset is 1.138 eV per atom. The value obtained for the uncorrected formation energy is 5.853 eV/f.u. For the density of states at the Fermi level, the calculation gives 4.46 states/eV per cell. As for the total energy: -2.387 eV per atom.

***

# 4
A relaxed SbSeBr crystal. Source: Alexandria via LeMat-Bulk, functional PBE.

Lattice parameters (Å, degrees): 8.442 4.054 11.520 90.00 90.00 90.00
Space group Pnma (No. 62)
One atom of each set of equivalent atoms:
Sb 0.098 0.250 0.130 [4 per cell]
Se 0.184 0.750 0.972 [4 per cell]
Br 0.051 0.250 0.716 [4 per cell]

Computed properties:
The value obtained for the uncorrected formation energy is -1.312 eV/f.u. For the density of states at the Fermi level, the calculation gives 0.00 states/eV per cell. As for the total energy: -3.531 eV per atom.

***

# 5
A relaxed CeNd3Dy2Se6 crystal. Source: Alexandria via LeMat-Bulk, functional PBE.

Lattice parameters (Å, degrees): 7.201 12.511 7.262 90.00 109.46 90.00
Space group C2/m (No. 12)
One atom of each set of equivalent atoms:
Ce 0.000 0.000 0.000 [2 per cell]
Nd 0.000 0.165 0.500 [4 per cell]
Nd 0.000 0.500 0.500 [2 per cell]
Dy 0.000 0.333 0.000 [4 per cell]
Se 0.240 0.500 0.238 [4 per cell]
Se 0.250 0.170 0.240 [8 per cell]

Computed properties:
The value obtained for the uncorrected formation energy is -21.728 eV/f.u. For the density of states at the Fermi level, the calculation gives 21.50 states/eV per cell. As for the total energy: -6.006 eV per atom.

***

# 6
A relaxed CsCaH2 crystal. Source: Alexandria via LeMat-Bulk, functional PBE.

Lattice parameters (Å, degrees): 7.152 7.152 7.152 90.00 90.00 90.00
Space group Fm-3m (No. 225)
One atom of each set of equivalent atoms:
Cs 0.000 0.000 0.000 [4 per cell]
Ca 0.000 0.000 0.500 [4 per cell]
H 0.250 0.250 0.250 [8 per cell]

Computed properties:
Its energy above the most stable polymorph in this dataset is 0.386 eV per atom. For the density of states at the Fermi level, the calculation gives 6.39 states/eV per cell. As for the total energy: -2.152 eV per atom.

***

# 7
A relaxed Na2Li2ReO6 crystal. Source: Alexandria via LeMat-Bulk, functional PBE.

Lattice parameters (Å, degrees): 5.1625 5.1625 5.4231 90.00 90.00 120.00
Space group P-31m (No. 162)
One atom of each set of equivalent atoms:
Na 0.3333 0.6667 0.0000 [2 per cell]
Li 0.3333 0.6667 0.5000 [2 per cell]
Re 0.0000 0.0000 0.5000 [1 per cell]
O 0.0000 0.3029 0.3011 [6 per cell]

Computed properties:
The value obtained for the uncorrected formation energy is -17.810 eV/f.u. For the density of states at the Fermi level, the calculation gives 8.87 states/eV per cell. As for the total energy: -6.043 eV per atom.

***

# 8
A relaxed ZrTl4As crystal. Source: Alexandria via LeMat-Bulk, functional PBE.

Lattice parameters (Å, degrees): 8.629 8.629 8.629 90.00 90.00 90.00
Space group F-43m (No. 216)
One atom of each set of equivalent atoms:
Zr 0.000 0.000 0.000 [4 per cell]
Tl 0.125 0.125 0.375 [16 per cell]
As 0.250 0.250 0.750 [4 per cell]

Computed properties:
For the density of states at the Fermi level, the calculation gives 19.50 states/eV per cell. As for the total energy: -3.263 eV per atom. For the energy relative to the elements, the calculation gives 0.515 eV per atom.